Material: TbSi6Ir3
Method: DFT, PBE
State: relaxed

Cell lengths 3.898, 8.042, 11.313 Å; angles 110.57, 90.00, 90.00 degrees
Positions (direct):
Si 0.250 0.303 0.284
Si 0.250 0.607 0.427
Si 0.250 0.983 0.579
Si 0.750 0.427 0.026
Ir 0.750 0.466 0.821
Ir 0.250 0.781 0.876
Ir 0.750 0.786 0.526
Si 0.750 0.701 0.290
Si 0.750 0.017 0.421
Si 0.750 0.892 0.009
Si 0.750 0.393 0.573
Ir 0.750 0.219 0.124
Ir 0.250 0.534 0.179
Si 0.250 0.108 0.991
Si 0.250 0.573 0.974
Si 0.750 0.697 0.716
Tb 0.750 0.073 0.801
Ir 0.250 0.214 0.474
Tb 0.250 0.927 0.199
Si 0.250 0.299 0.710

Calculated values
D(E_F) in states/eV/cell: 6.1
Uncorrected formation energy in eV per atom: -0.577

Material: YNp2Si6
Method: DFT, PBE
State: relaxed

Cell lengths 3.843, 7.032, 7.032 Å; angles 120.00, 90.00, 90.00 degrees
Positions (direct):
Si 0.500 0.000 0.666
Np 0.000 0.333 0.667
Y 0.000 0.000 0.000
Np 0.000 0.667 0.333
Si 0.500 0.334 0.334
Si 0.500 0.666 0.000
Si 0.500 0.666 0.666
Si 0.500 0.334 0.000
Si 0.500 0.000 0.334

Calculated values
D(E_F) in states/eV/cell: 14.6
Uncorrected formation energy in eV per atom: -0.368

Material: NaAc2PmS4
Method: DFT, PBE
State: relaxed

Cell lengths 4.211, 7.162, 7.349 Å; angles 70.33, 90.00, 90.00 degrees
Positions (direct):
S 0.000 0.261 0.250
Na 0.500 0.500 0.000
S 0.500 0.266 0.744
Pm 0.000 0.500 0.500
S 0.000 0.739 0.750
Ac 0.500 0.000 0.500
S 0.500 0.734 0.256
Ac 0.000 0.000 0.000

Calculated values
D(E_F) in states/eV/cell: 2.7
Uncorrected formation energy in eV per atom: -1.895

Material: ZnTeP4
Method: DFT, PBE
State: relaxed

Cell lengths 5.935, 5.935, 5.935 Å; angles 60.00, 60.00, 60.00 degrees
Positions (direct):
P 0.657 0.030 0.657
P 0.030 0.657 0.657
Zn 0.000 0.000 0.000
P 0.657 0.657 0.030
P 0.657 0.657 0.657
Te 0.250 0.250 0.250

Calculated values
D(E_F) in states/eV/cell: 5.2
Uncorrected formation energy in eV per atom: 0.498

Material: K3ReC4N4O2
Method: DFT, PBE
State: relaxed

Cell lengths 6.274, 6.151, 7.620 Å; angles 90.06, 79.71, 115.99 degrees
Positions (direct):
N 0.677 0.496 0.634
O 0.823 0.057 0.859
N 0.293 0.172 0.818
C 0.518 0.728 0.299
O 0.177 0.943 0.141
K 0.365 0.710 0.854
K 0.000 0.000 0.500
N 0.323 0.504 0.366
C 0.482 0.272 0.701
C 0.670 0.306 0.545
N 0.707 0.828 0.182
K 0.635 0.290 0.146
C 0.330 0.694 0.455
Re 0.000 0.000 0.000

Calculated values
Uncorrected formation energy in eV per atom: -0.058
Excess energy over the best structure of this formula in the dataset in kJ/mol of formula units: 667